AlW3: relaxed, PBEsol.

Calculated values
Total moment, μB per formula unit: 0.00
Crystal system: orthorhombic
Electronic total energy, eV per atom: -11.3611
Space group: Cmmm, No. 65
V, Å³ per cell: 61.6

Unit cell a=2.735 b=2.735 c=8.711 alpha=90.00 beta=90.00 gamma=109.05
Sites, in units of the cell vectors:
1 Al 0.000 0.000 0.000
2 W 0.000 0.000 0.500
3 W 0.500 0.500 0.247
4 W 0.500 0.500 0.753